# 1
The following is a DFT calculation (PBE) of RbSrZn2Rh after structural relaxation.

CIF file:
```
data_RbSrZn2Rh
_cell_length_a 5.142
_cell_length_b 5.142
_cell_length_c 5.485
_cell_angle_alpha 90.00
_cell_angle_beta 90.00
_cell_angle_gamma 90.00
_space_group_name_H-M_alt 'P 4/m m m'
_space_group_IT_number 123
_space_group_name_Hall '-P 4 2'
loop_
_atom_site_label
_atom_site_type_symbol
_atom_site_fract_x
_atom_site_fract_y
_atom_site_fract_z
_atom_site_occupancy
Rb1 Rb 0.000 0.000 0.000 1
Sr1 Sr 0.500 0.500 0.000 1
Zn1 Zn 0.000 0.500 0.500 1
Rh1 Rh 0.500 0.500 0.500 1
```

The formation energy is -0.049 eV/atom. The calculation puts the total energy at -12.8 eV per cell.



# 2
The following is a DFT calculation (PBE) of Rb2SrZrRh after structural relaxation.

CIF file:
```
data_Rb2SrZrRh
_cell_length_a 6.089
_cell_length_b 6.089
_cell_length_c 5.683
_cell_angle_alpha 90.00
_cell_angle_beta 90.00
_cell_angle_gamma 90.00
_space_group_name_H-M_alt 'P 4/m m m'
_space_group_IT_number 123
_space_group_name_Hall '-P 4 2'
loop_
_atom_site_label
_atom_site_type_symbol
_atom_site_fract_x
_atom_site_fract_y
_atom_site_fract_z
_atom_site_occupancy
Rb1 Rb 0.000 0.500 0.000 1
Sr1 Sr 0.000 0.000 0.500 1
Zr1 Zr 0.500 0.500 0.500 1
Rh1 Rh 0.000 0.000 0.000 1
```

The formation energy is 1.184 eV/atom. The calculation puts the total energy at -13.6 eV per cell.



# 3
The following is a DFT calculation (PBE) of RbSrZr2Rh after structural relaxation.

CIF file:
```
data_RbSrZr2Rh
_cell_length_a 5.127
_cell_length_b 5.127
_cell_length_c 6.420
_cell_angle_alpha 90.00
_cell_angle_beta 90.00
_cell_angle_gamma 90.00
_space_group_name_H-M_alt 'P 4/m m m'
_space_group_IT_number 123
_space_group_name_Hall '-P 4 2'
loop_
_atom_site_label
_atom_site_type_symbol
_atom_site_fract_x
_atom_site_fract_y
_atom_site_fract_z
_atom_site_occupancy
Rb1 Rb 0.000 0.000 0.000 1
Sr1 Sr 0.500 0.500 0.000 1
Zr1 Zr 0.000 0.500 0.500 1
Rh1 Rh 0.000 0.000 0.500 1
```

The formation energy is 0.509 eV/atom. The calculation puts the total energy at -24.6 eV per cell.



# 4
The following is a DFT calculation (PBE) of Rb2SrZrRh after structural relaxation.

CIF file:
```
data_Rb2SrZrRh
_cell_length_a 7.065
_cell_length_b 7.065
_cell_length_c 4.778
_cell_angle_alpha 90.00
_cell_angle_beta 90.00
_cell_angle_gamma 90.00
_space_group_name_H-M_alt 'P 4/m m m'
_space_group_IT_number 123
_space_group_name_Hall '-P 4 2'
loop_
_atom_site_label
_atom_site_type_symbol
_atom_site_fract_x
_atom_site_fract_y
_atom_site_fract_z
_atom_site_occupancy
Rb1 Rb 0.000 0.500 0.000 1
Sr1 Sr 0.000 0.000 0.500 1
Zr1 Zr 0.500 0.500 0.000 1
Rh1 Rh 0.500 0.500 0.500 1
```

The formation energy is 0.771 eV/atom. The calculation puts the total energy at -15.7 eV per cell.



# 5
The following is a DFT calculation (PBE) of RbTa3Rh after structural relaxation.

CIF file:
```
data_RbTa3Rh
_cell_length_a 4.992
_cell_length_b 4.992
_cell_length_c 4.992
_cell_angle_alpha 90.00
_cell_angle_beta 90.00
_cell_angle_gamma 90.00
_space_group_name_H-M_alt 'P m -3 m'
_space_group_IT_number 221
_space_group_name_Hall '-P 4 2 3'
loop_
_atom_site_label
_atom_site_type_symbol
_atom_site_fract_x
_atom_site_fract_y
_atom_site_fract_z
_atom_site_occupancy
Rb1 Rb 0.000 0.000 0.000 1
Ta1 Ta 0.000 0.500 0.500 1
Rh1 Rh 0.500 0.500 0.500 1
```

The formation energy is 1.473 eV/atom. The calculation puts the total energy at -36.5 eV per cell.



# 6
The following is a DFT calculation (PBE) of RbTa3Rh after structural relaxation.

CIF file:
```
data_RbTa3Rh
_cell_length_a 4.713
_cell_length_b 4.713
_cell_length_c 4.713
_cell_angle_alpha 90.00
_cell_angle_beta 90.00
_cell_angle_gamma 90.00
_space_group_name_H-M_alt 'P m -3 m'
_space_group_IT_number 221
_space_group_name_Hall '-P 4 2 3'
loop_
_atom_site_label
_atom_site_type_symbol
_atom_site_fract_x
_atom_site_fract_y
_atom_site_fract_z
_atom_site_occupancy
Rb1 Rb 0.000 0.000 0.000 1
Ta1 Ta 0.000 0.000 0.500 1
Rh1 Rh 0.500 0.500 0.500 1
```

The formation energy is 3.203 eV/atom. The calculation puts the total energy at -27.9 eV per cell.



# 7
The following is a DFT calculation (PBE) of Rb3TaRh after structural relaxation.

CIF file:
```
data_Rb3TaRh
_cell_length_a 6.140
_cell_length_b 6.140
_cell_length_c 6.140
_cell_angle_alpha 90.00
_cell_angle_beta 90.00
_cell_angle_gamma 90.00
_space_group_name_H-M_alt 'P m -3 m'
_space_group_IT_number 221
_space_group_name_Hall '-P 4 2 3'
loop_
_atom_site_label
_atom_site_type_symbol
_atom_site_fract_x
_atom_site_fract_y
_atom_site_fract_z
_atom_site_occupancy
Rb1 Rb 0.000 0.000 0.500 1
Ta1 Ta 0.500 0.500 0.500 1
Rh1 Rh 0.000 0.000 0.000 1
```

The formation energy is 1.747 eV/atom. The calculation puts the total energy at -13.4 eV per cell.



# 8
The following is a DFT calculation (PBE) of RbTaRh2 after structural relaxation.

CIF file:
```
data_RbTaRh2
_cell_length_a 6.711
_cell_length_b 6.711
_cell_length_c 6.711
_cell_angle_alpha 90.00
_cell_angle_beta 90.00
_cell_angle_gamma 90.00
_space_group_name_H-M_alt 'F m -3 m'
_space_group_IT_number 225
_space_group_name_Hall '-F 4 2 3'
loop_
_atom_site_label
_atom_site_type_symbol
_atom_site_fract_x
_atom_site_fract_y
_atom_site_fract_z
_atom_site_occupancy
Rb1 Rb 0.000 0.000 0.000 1
Ta1 Ta 0.000 0.000 0.500 1
Rh1 Rh 0.250 0.250 0.250 1
```

The formation energy is 0.858 eV/atom. The calculation puts the total energy at -96.4 eV per cell.



# 9
The following is a DFT calculation (PBE) of RbTaRh3 after structural relaxation.

CIF file:
```
data_RbTaRh3
_cell_length_a 4.702
_cell_length_b 4.702
_cell_length_c 4.702
_cell_angle_alpha 90.00
_cell_angle_beta 90.00
_cell_angle_gamma 90.00
_space_group_name_H-M_alt 'P m -3 m'
_space_group_IT_number 221
_space_group_name_Hall '-P 4 2 3'
loop_
_atom_site_label
_atom_site_type_symbol
_atom_site_fract_x
_atom_site_fract_y
_atom_site_fract_z
_atom_site_occupancy
Rb1 Rb 0.000 0.000 0.000 1
Ta1 Ta 0.500 0.500 0.500 1
Rh1 Rh 0.000 0.000 0.500 1
```

The formation energy is 2.448 eV/atom. The calculation puts the total energy at -22.6 eV per cell.



# 10
The following is a DFT calculation (PBE) of RbTaRh3 after structural relaxation.

CIF file:
```
data_RbTaRh3
_cell_length_a 4.881
_cell_length_b 4.881
_cell_length_c 4.881
_cell_angle_alpha 90.00
_cell_angle_beta 90.00
_cell_angle_gamma 90.00
_space_group_name_H-M_alt 'P m -3 m'
_space_group_IT_number 221
_space_group_name_Hall '-P 4 2 3'
loop_
_atom_site_label
_atom_site_type_symbol
_atom_site_fract_x
_atom_site_fract_y
_atom_site_fract_z
_atom_site_occupancy
Rb1 Rb 0.000 0.000 0.000 1
Ta1 Ta 0.500 0.500 0.500 1
Rh1 Rh 0.000 0.500 0.500 1
```

The formation energy is 0.670 eV/atom. The calculation puts the total energy at -31.5 eV per cell.



# 11
The following is a DFT calculation (PBE) of RbTaRh2 after structural relaxation.

CIF file:
```
data_RbTaRh2
_cell_length_a 7.489
_cell_length_b 7.489
_cell_length_c 6.923
_cell_angle_alpha 90.00
_cell_angle_beta 90.00
_cell_angle_gamma 90.00
_space_group_name_H-M_alt 'I -4 2 d'
_space_group_IT_number 122
_space_group_name_Hall 'I -4 2bw'
loop_
_atom_site_label
_atom_site_type_symbol
_atom_site_fract_x
_atom_site_fract_y
_atom_site_fract_z
_atom_site_occupancy
Rb1 Rb 0.000 0.000 0.000 1
Ta1 Ta 0.000 0.000 0.500 1
Rh1 Rh 0.178 0.750 0.625 1
```

The formation energy is 0.659 eV/atom. The calculation puts the total energy at -99.5 eV per cell.



# 12
The following is a DFT calculation (PBE) of RbTb2Rh after structural relaxation.

CIF file:
```
data_RbTb2Rh
_cell_length_a 4.1094
_cell_length_b 4.1094
_cell_length_c 33.4144
_cell_angle_alpha 90.00
_cell_angle_beta 90.00
_cell_angle_gamma 120.00
_space_group_name_H-M_alt 'R -3 m'
_space_group_IT_number 166
_space_group_name_Hall '-R 3 2"'
loop_
_atom_site_label
_atom_site_type_symbol
_atom_site_fract_x
_atom_site_fract_y
_atom_site_fract_z
_atom_site_occupancy
Rb1 Rb 0.0000 0.0000 0.0000 1
Tb1 Tb 0.0000 0.0000 0.1243 1
Rh1 Rh 0.0000 0.0000 0.5000 1
```

The formation energy is -0.255 eV/atom. The calculation puts the total energy at -55.8 eV per cell.



| no. | total magnetic moment (Bohr magnetons per cell) |
| --- | --- |
| 1 | 0.0 |
| 2 | 0.0 |
| 3 | 1.0 |
| 4 | 0.8 |
| 5 | 0.8 |
| 6 | 0.0 |
| 7 | 3.8 |
| 8 | 0.0 |
| 9 | 0.0 |
| 10 | 0.0 |
| 11 | 0.0 |
| 12 | 0.0 |